NaHo2Tl, optimized geometry, DFT PBE; raw total energy = -3.11 eV per atom; symmetry = No. 166; crystal system = trigonal; magnetization = 0.000 μB per atom; ΔE_f = 0.103 eV per atom
1.0
-0.270 2.694 2.216
1.411 -0.214 3.195
10.749 5.380 -2.472
Na Tl Ho
1 1 2
Direct
0.000 0.000 0.000
0.500 0.500 0.500
0.096 0.096 0.712
0.904 0.904 0.288

CoGe3N, optimized geometry, DFT PBE; raw total energy = -4.95 eV per atom; uncorrected formation energy = 0.903 eV/atom; symmetry = No. 221; crystal system = cubic; magnetization = 0.000 μB per atom
1.0
-1.642 -2.623 3.132
-1.767 -2.588 -3.093
3.683 -2.411 -0.088
Ge Co N
3 1 1
Direct
0.000 0.500 0.000
0.000 0.000 0.500
0.500 0.000 0.000
0.000 0.000 0.000
0.500 0.500 0.500

SrBH, optimized geometry, DFT PBE; raw total energy = -4.12 eV per atom; symmetry = No. 8; crystal system = monoclinic; magnetization = 0.000 μB per atom
1.0
-4.083 -6.224 -1.128
0.292 -0.758 3.124
-5.174 5.590 1.839
Sr B H
4 4 4
Direct
0.660 0.000 0.915
0.660 0.500 0.415
0.215 0.000 0.054
0.215 0.500 0.554
0.949 0.000 0.248
0.949 0.500 0.748
0.950 0.000 0.721
0.950 0.500 0.221
0.545 0.000 0.183
0.545 0.500 0.683
0.386 0.000 0.412
0.386 0.500 0.912

Ce2MgTaN4, optimized geometry, DFT PBE; raw total energy = -8.56 eV per atom; uncorrected formation energy = -1.236 eV/atom; symmetry = No. 10; crystal system = monoclinic; magnetization = 0.016 μB per atom
1.0
3.300 0.000 0.000
0.000 5.847 -0.140
0.000 2.032 5.374
Ce Mg Ta N
2 1 1 4
Direct
0.000 0.000 0.000
0.500 0.000 0.500
0.500 0.500 0.000
0.000 0.500 0.500
0.000 0.718 0.743
0.000 0.282 0.257
0.500 0.714 0.271
0.500 0.286 0.729